Cs4Ho3ZrS8 | PBE | relaxed

The structure in POSCAR format:
```
Cs4Ho3ZrS8
1.0
4.0210 2.3215 8.0568
-4.0210 2.3215 8.0568
0.0000 -4.6431 8.0568
Cs Ho Zr S
4 3 1 8
Cartesian
0.0000 0.0000 0.0000
-2.0105 -1.1608 8.0568
-2.0105 1.1608 16.1137
0.0000 2.3215 8.0568
-4.0210 0.0000 12.0853
-2.0105 1.1608 4.0284
2.0105 1.1608 4.0284
0.0000 0.0000 12.0853
0.0000 0.0000 5.4972
-1.9400 -1.1201 13.5330
0.0000 -2.2401 10.6375
-1.9400 1.1201 10.6375
1.9400 -1.1201 13.5330
0.0000 2.2401 13.5330
1.9400 1.1201 10.6375
0.0000 0.0000 18.6733
```

formation energy without anion corrections: -1.7121 eV/atom
magnetization: 0.0 μB/cell
ρ: 5.056 g/cm3
total DFT energy (no corrections): -5.382 eV/atom
space group: R-3m, No. 166